[1]
! Li3Cd4 | Alexandria | PBE | relaxed; values from VASP
&SYSTEM
  ibrav = 0, nat = 7, ntyp = 2
/
ATOMIC_SPECIES
Li 6.94 Li.upf
Cd 112.41 Cd.upf
CELL_PARAMETERS angstrom
-2.018 0.724 -2.647
-2.713 -0.011 2.065
3.789 10.671 2.223
ATOMIC_POSITIONS crystal
Li 0.861 0.361 0.721
Li 0.000 0.500 0.000
Li 0.139 0.639 0.279
Cd 0.708 0.208 0.417
Cd 0.292 0.792 0.583
Cd 0.430 0.930 0.861
Cd 0.570 0.070 0.139
! Energy of formation in eV/atom: -0.2383
! Total moment in μB per cell: 0.0
! Volume in Å³/atom: 18.7
! Symmetry: I4/mmm (139)

=====

[2]
! RbSrY2Ta | Alexandria | PBE | relaxed; values from VASP
&SYSTEM
  ibrav = 0, nat = 5, ntyp = 4
/
ATOMIC_SPECIES
Y 88.91 Y.upf
Sr 87.62 Sr.upf
Rb 85.47 Rb.upf
Ta 180.95 Ta.upf
CELL_PARAMETERS angstrom
5.621 0.000 0.000
0.000 5.312 0.000
0.000 0.000 5.621
ATOMIC_POSITIONS crystal
Y 0.000 0.000 0.500
Y 0.500 0.000 0.000
Sr 0.500 0.500 0.500
Rb 0.000 0.000 0.000
Ta 0.000 0.500 0.000
! Energy of formation in eV/atom: 1.6591
! Total moment in μB per cell: 1.6
! Volume in Å³/atom: 33.6
! Symmetry: P4/mmm (123)

=====

[3]
! NdDyCuPd | Alexandria | PBE | relaxed; values from VASP
&SYSTEM
  ibrav = 0, nat = 4, ntyp = 4
/
ATOMIC_SPECIES
Nd 144.24 Nd.upf
Dy 162.50 Dy.upf
Cu 63.55 Cu.upf
Pd 106.42 Pd.upf
CELL_PARAMETERS angstrom
3.824 0.000 0.000
0.000 4.606 0.000
-1.912 0.000 5.286
ATOMIC_POSITIONS crystal
Nd 0.140 0.000 0.281
Dy 0.863 0.500 0.726
Cu 0.422 0.000 0.844
Pd 0.574 0.500 0.148
! Energy of formation in eV/atom: -0.5388
! Total moment in μB per cell: 0.0
! Volume in Å³/atom: 23.3
! Symmetry: Amm2 (38)

=====

[4]
! PrGaAu4 | Alexandria | PBE | relaxed; values from VASP
&SYSTEM
  ibrav = 0, nat = 6, ntyp = 3
/
ATOMIC_SPECIES
Pr 140.91 Pr.upf
Au 196.97 Au.upf
Ga 69.72 Ga.upf
CELL_PARAMETERS angstrom
5.643 0.000 0.000
2.822 4.887 0.000
2.822 1.629 4.608
ATOMIC_POSITIONS crystal
Pr 0.250 0.250 0.250
Au 0.625 0.625 0.124
Au 0.625 0.124 0.625
Au 0.625 0.625 0.625
Au 0.124 0.625 0.625
Ga 0.000 0.000 0.000
! Energy of formation in eV/atom: -0.3910
! Total moment in μB per cell: 0.0
! Volume in Å³/atom: 21.2
! Symmetry: F-43m (216)

=====

[5]
! CuSiTePb2 | Alexandria | PBE | relaxed; values from VASP
&SYSTEM
  ibrav = 0, nat = 5, ntyp = 4
/
ATOMIC_SPECIES
Pb 207.20 Pb.upf
Si 28.09 Si.upf
Te 127.60 Te.upf
Cu 63.55 Cu.upf
CELL_PARAMETERS angstrom
5.450 0.000 0.000
0.000 5.279 0.000
0.000 0.000 5.450
ATOMIC_POSITIONS crystal
Pb 0.000 0.000 0.500
Pb 0.500 0.000 0.000
Si 0.000 0.000 0.000
Te 0.000 0.500 0.000
Cu 0.500 0.500 0.500
! E_form (uncorrected) in eV per atom: 0.74
! Total moment in μB per cell: 0.0
! Volume in Å³/atom: 31.4
! Symmetry: P4/mmm (123)

=====

[6]
! PaTi2HgO8 | Alexandria | PBE | relaxed; values from VASP
&SYSTEM
  ibrav = 0, nat = 12, ntyp = 4
/
ATOMIC_SPECIES
Pa 231.04 Pa.upf
Ti 47.87 Ti.upf
Hg 200.59 Hg.upf
O 16.00 O.upf
CELL_PARAMETERS angstrom
6.007 0.000 0.000
-3.004 5.202 0.000
0.000 0.000 6.415
ATOMIC_POSITIONS crystal
Pa 0.000 0.000 0.000
Ti 0.333 0.667 0.692
Ti 0.667 0.333 0.308
Hg 0.000 0.000 0.500
O 0.161 0.321 0.781
O 0.161 0.839 0.781
O 0.679 0.839 0.781
O 0.321 0.161 0.219
O 0.667 0.333 0.576
O 0.333 0.667 0.424
O 0.839 0.679 0.219
O 0.839 0.161 0.219
! E_form (uncorrected) in eV per atom: -2.34
! Total moment in μB per cell: 1.1
! Volume in Å³/atom: 16.7
! Symmetry: P-3m1 (164)

=====

[7]
! TaN2OF | Alexandria | PBE | relaxed; values from VASP
&SYSTEM
  ibrav = 0, nat = 5, ntyp = 4
/
ATOMIC_SPECIES
N 14.01 N.upf
F 19.00 F.upf
O 16.00 O.upf
Ta 180.95 Ta.upf
CELL_PARAMETERS angstrom
3.626 0.000 0.000
0.000 3.626 0.000
0.000 0.000 3.454
ATOMIC_POSITIONS crystal
N 0.000 0.500 0.000
N 0.500 0.000 0.000
F 0.000 0.000 0.500
O 0.000 0.000 0.000
Ta 0.500 0.500 0.500
! E_form (uncorrected) in eV per atom: 1.07
! Total moment in μB per cell: 0.0
! Volume in Å³/atom: 9.1
! Symmetry: P4/mmm (123)

=====

[8]
! Ba2GaI5 | Alexandria | PBE | relaxed; values from VASP
&SYSTEM
  ibrav = 0, nat = 32, ntyp = 3
/
ATOMIC_SPECIES
Ba 137.33 Ba.upf
Ga 69.72 Ga.upf
I 126.90 I.upf
CELL_PARAMETERS angstrom
-7.370 0.422 -5.731
-4.443 -7.253 5.180
-6.230 10.069 8.753
ATOMIC_POSITIONS crystal
Ba 0.479 0.499 0.821
Ba 0.521 0.501 0.179
Ba 0.979 0.501 0.679
Ba 0.521 0.999 0.179
Ba 0.021 0.499 0.321
Ba 0.479 0.001 0.821
Ba 0.021 0.001 0.321
Ba 0.979 0.999 0.679
Ga 0.478 0.250 0.501
Ga 0.522 0.750 0.499
Ga 0.978 0.750 0.999
Ga 0.022 0.250 0.001
I 0.015 0.250 0.502
I 0.985 0.750 0.498
I 0.515 0.750 0.998
I 0.485 0.250 0.002
I 0.335 0.983 0.601
I 0.665 0.017 0.399
I 0.835 0.017 0.899
I 0.665 0.483 0.399
I 0.165 0.983 0.101
I 0.335 0.517 0.601
I 0.165 0.517 0.101
I 0.835 0.483 0.899
I 0.189 0.250 0.797
I 0.811 0.750 0.203
I 0.689 0.750 0.703
I 0.311 0.250 0.297
I 0.678 0.250 0.688
I 0.322 0.750 0.312
I 0.178 0.750 0.812
I 0.822 0.250 0.188
! E_form (uncorrected) in eV per atom: -1.39
! Total moment in μB per cell: 0.0
! Volume in Å³/atom: 42.8
! Symmetry: Pnma (62)

=====

[9]
! MnGe2Os2 | Alexandria | PBE | relaxed; values from VASP
&SYSTEM
  ibrav = 0, nat = 10, ntyp = 3
/
ATOMIC_SPECIES
Ge 72.64 Ge.upf
Mn 54.94 Mn.upf
Os 190.23 Os.upf
CELL_PARAMETERS angstrom
7.136 0.000 0.000
0.000 7.136 0.000
0.000 0.000 2.994
ATOMIC_POSITIONS crystal
Ge 0.156 0.656 0.500
Ge 0.656 0.844 0.500
Ge 0.844 0.344 0.500
Ge 0.344 0.156 0.500
Mn 0.000 0.000 0.000
Mn 0.500 0.500 0.000
Os 0.357 0.857 0.000
Os 0.857 0.643 0.000
Os 0.643 0.143 0.000
Os 0.143 0.357 0.000
! Energy of formation in eV/atom: 0.2175
! Total moment in μB per cell: 8.4
! Volume in Å³/atom: 15.2
! Symmetry: P4/mbm (127)

=====

[10]
! Ti3AlNi4 | Alexandria | PBE | relaxed; values from VASP
&SYSTEM
  ibrav = 0, nat = 16, ntyp = 3
/
ATOMIC_SPECIES
Ni 58.69 Ni.upf
Al 26.98 Al.upf
Ti 47.87 Ti.upf
CELL_PARAMETERS angstrom
-3.661 -1.701 1.532
-0.528 -3.135 -4.742
4.504 -6.358 3.703
ATOMIC_POSITIONS crystal
Ni 0.500 0.755 0.000
Ni 0.500 0.755 0.500
Ni 0.500 0.245 0.000
Ni 0.500 0.245 0.500
Ni 0.000 0.755 0.750
Ni 0.000 0.755 0.250
Ni 0.000 0.245 0.250
Ni 0.000 0.245 0.750
Al 0.000 0.500 0.000
Al 0.000 0.500 0.500
Ti 0.000 0.000 0.000
Ti 0.000 0.000 0.500
Ti 0.500 0.000 0.750
Ti 0.500 0.000 0.250
Ti 0.500 0.500 0.750
Ti 0.500 0.500 0.250
! Energy of formation in eV/atom: -0.4508
! Total moment in μB per cell: 0.0
! Volume in Å³/atom: 13.3
! Symmetry: P4/mmm (123)

=====

[11]
! Li8Ge2Au | Alexandria | PBE | relaxed; values from VASP
&SYSTEM
  ibrav = 0, nat = 11, ntyp = 3
/
ATOMIC_SPECIES
Li 6.94 Li.upf
Ge 72.64 Ge.upf
Au 196.97 Au.upf
CELL_PARAMETERS angstrom
4.432 0.000 0.000
0.000 6.104 -0.197
-2.216 -2.833 6.744
ATOMIC_POSITIONS crystal
Li 0.344 0.576 0.688
Li 0.657 0.889 0.313
Li 0.825 0.824 0.649
Li 0.000 0.284 0.000
Li 0.175 0.176 0.351
Li 0.343 0.111 0.687
Li 0.656 0.424 0.312
Li 0.000 0.716 0.000
Ge 0.817 0.317 0.635
Ge 0.183 0.683 0.365
Au 0.500 0.000 0.000
! Energy of formation in eV/atom: -0.3387
! Total moment in μB per cell: 0.0
! Volume in Å³/atom: 16.4
! Symmetry: Immm (71)

=====

[12]
! HoScSb | Alexandria | PBE | relaxed; values from VASP
&SYSTEM
  ibrav = 0, nat = 3, ntyp = 3
/
ATOMIC_SPECIES
Sc 44.96 Sc.upf
Sb 121.76 Sb.upf
Ho 164.93 Ho.upf
CELL_PARAMETERS angstrom
-2.055 -1.423 2.927
3.012 0.478 2.347
-2.126 5.212 -1.490
ATOMIC_POSITIONS crystal
Sc 0.633 0.633 0.266
Sb 0.272 0.272 0.544
Ho 0.945 0.945 0.889
! E_form (uncorrected) in eV per atom: -0.60
! Total moment in μB per cell: 1.0
! Volume in Å³/atom: 25.4
! Symmetry: I4mm (107)

=====

- volume of number 5 (CuSiTePb2)?
  31.4 Å³/atom

=====

- Among the records above, which one has the highest total moment?
  MnGe2Os2

=====

- What is the volume in the fifth record?
  31.4 Å³/atom

=====

- total moment of number 12 (HoScSb)?
  1.0 μB per cell